Entry 1:
Zn6CuIr2, optimized geometry, DFT PBE; symmetry = No. 136; energy relative to the lowest polymorph listed for this composition = 0 meV/atom; energy of formation = -16.5 kJ per mole of atoms
1.0
3.784 0.000 0.000
0.000 8.175 0.000
0.001 0.000 8.175
Zn Cu Ir
12 2 4
Cartesian
3.784 0.017 1.430 Zn
3.784 5.518 4.105 Zn
3.785 5.398 6.865 Zn
1.893 1.310 5.397 Zn
1.893 1.430 8.157 Zn
1.892 4.105 2.657 Zn
0.001 8.158 6.744 Zn
0.001 2.657 4.069 Zn
0.000 2.777 1.310 Zn
1.892 6.865 2.778 Zn
1.892 6.745 0.018 Zn
1.893 4.070 5.518 Zn
1.892 4.088 0.000 Cu
0.000 0.000 4.087 Cu
0.001 2.692 6.779 Ir
1.892 6.779 5.484 Ir
1.892 1.396 2.691 Ir
3.784 5.484 1.396 Ir


Entry 2:
Zn7Cu12Ir, optimized geometry, DFT PBE; symmetry = No. 166; energy of formation = -4.5 kJ per mole of atoms
1.0
6.513 0.267 0.401
-1.554 6.330 0.401
-1.554 -2.068 5.996
Zn Cu Ir
7 12 1
Cartesian
3.287 2.150 5.638 Zn
2.253 0.773 1.162 Zn
0.116 0.156 2.643 Zn
1.702 2.265 3.399 Zn
3.288 4.374 4.156 Zn
1.151 3.756 5.637 Zn
0.117 2.379 1.161 Zn
4.958 0.397 4.934 Cu
4.402 1.853 0.402 Cu
2.701 0.035 3.909 Cu
4.122 1.925 2.890 Cu
0.556 -1.457 4.533 Cu
0.703 0.936 5.261 Cu
2.701 3.594 1.538 Cu
2.848 5.986 2.266 Cu
-0.717 2.605 3.909 Cu
0.704 4.495 2.890 Cu
-0.998 2.676 6.397 Cu
-1.554 4.133 1.865 Cu
0.000 0.000 0.000 Ir


Entry 3:
ZnCu6Ir, optimized geometry, DFT PBE; symmetry = No. 166; energy of formation = 41.0 kJ per mole of atoms
1.0
4.808 0.000 0.000
2.404 4.164 0.000
2.404 1.388 6.603
Zn Cu Ir
1 6 1
Cartesian
0.000 0.000 0.000 Zn
8.414 4.858 4.524 Cu
6.009 4.858 4.524 Cu
2.404 2.777 2.079 Cu
3.607 0.694 2.079 Cu
1.201 0.694 2.079 Cu
7.212 2.775 4.524 Cu
4.808 2.776 3.302 Ir


no.,total moment (μB per formula unit),electronic total energy (hartree per atom)
1,0.00,-0.127
2,0.00,-0.125
3,0.00,-0.144